1.
VASP calculation (PBE) on a geometry-optimized ThInHgN structure.

The structure in extended XYZ format:
```
8
Lattice="4.198 0.000 0.000 0.000 4.198 0.000 0.000 0.000 10.888" Properties=species:S:1:pos:R:3 pbc="T T T"
Th 0.000 2.099 9.794
Th 2.099 0.000 1.094
In 0.000 0.000 5.444
In 2.099 2.099 5.444
Hg 2.099 0.000 7.848
Hg 0.000 2.099 3.040
N 2.099 2.099 0.000
N 0.000 0.000 0.000
```

Summary:
E: -5.534 eV per atom
symmetry: No. 129
N(E_F): 1.731 states/eV/f.u.
magnetic moment: 0.00 μB per cell

***

2.
VASP calculation (PBE) on a geometry-optimized PaCdHg structure.

The structure in extended XYZ format:
```
6
Lattice="-2.574 -1.034 1.464 1.754 -1.980 1.687 1.690 10.172 10.160" Properties=species:S:1:pos:R:3 pbc="T T T"
Pa 1.371 2.471 5.839
Pa -0.502 4.687 7.471
Cd 0.805 -0.937 2.435
Cd 0.065 8.095 10.875
Hg 1.960 5.994 9.363
Hg -1.090 1.164 3.947
```

Summary:
symmetry: No. 11
formation energy: 0.035 eV/atom
N(E_F): 3.225 states/eV/f.u.
magnetic moment: 0.00 μB per cell

***

3.
VASP calculation (PBE) on a geometry-optimized LaCeTmZr structure.

The structure in extended XYZ format:
```
4
Lattice="5.495 0.000 0.000 2.748 4.759 0.000 2.748 1.586 4.487" Properties=species:S:1:pos:R:3 pbc="T T T"
Tm 8.243 4.759 3.365
Zr 2.748 1.586 1.122
Ce 0.000 0.000 0.000
La 5.495 3.173 2.243
```

Summary:
symmetry: No. 216
formation energy: 0.217 eV/atom
N(E_F): 8.697 states/eV/f.u.
magnetic moment: 0.54 μB per cell

***

4.
VASP calculation (PBE) on a geometry-optimized LaSc2Te structure.

The structure in extended XYZ format:
```
8
Lattice="8.744 0.000 0.000 0.000 8.744 0.000 4.372 4.372 3.186" Properties=species:S:1:pos:R:3 pbc="T T T"
Sc 6.051 2.186 0.796
Sc 2.693 6.558 0.796
Sc 6.558 7.065 2.389
Sc 10.930 10.422 2.389
Te 4.372 4.372 0.000
Te 4.372 8.744 1.593
La 0.000 0.000 0.000
La 8.744 4.372 1.593
```

Summary:
E: -5.468 eV per atom
symmetry: No. 122
N(E_F): 5.780 states/eV/f.u.
magnetic moment: 0.00 μB per cell

***

5.
VASP calculation (PBE) on a geometry-optimized PRhCl structure.

The structure in extended XYZ format:
```
3
Lattice="3.477 0.000 0.000 -1.739 3.011 0.000 0.000 0.000 5.462" Properties=species:S:1:pos:R:3 pbc="T T T"
Cl 0.000 0.000 5.134
P 0.000 2.008 2.366
Rh 1.739 1.004 3.423
```

Summary:
E: -5.245 eV per atom
symmetry: No. 156
N(E_F): 2.161 states/eV/f.u.
magnetic moment: 0.00 μB per cell

***

6.
VASP calculation (PBE) on a geometry-optimized Nd2Ho2Rh15 structure.

The structure in extended XYZ format:
```
19
Lattice="-4.358 -5.371 0.625 4.782 -5.029 0.262 0.298 -0.617 6.911" Properties=species:S:1:pos:R:3 pbc="T T T"
Nd 0.258 -3.943 2.791
Nd 0.463 -7.074 5.006
Ho 0.079 -1.202 0.851
Ho 0.643 -9.815 6.946
Rh -2.179 -2.685 0.312
Rh 0.149 -0.309 3.455
Rh 2.391 -2.515 0.131
Rh 3.413 -3.682 2.291
Rh -1.568 -5.267 0.514
Rh -1.124 -2.069 4.992
Rh 1.992 -5.134 0.372
Rh -2.937 -3.920 2.544
Rh 1.666 -1.964 4.881
Rh 2.610 -4.524 4.762
Rh 0.323 -6.859 1.674
Rh -1.880 -4.692 4.940
Rh -1.888 -6.494 3.035
Rh 0.399 -4.158 6.123
Rh 2.602 -6.326 2.857
```

Summary:
symmetry: No. 166
formation energy: -0.364 eV/atom
N(E_F): 26.831 states/eV/f.u.
magnetic moment: 0.00 μB per cell

***

7.
VASP calculation (PBE) on a geometry-optimized LiCuHg2Br6 structure.

The structure in extended XYZ format:
```
10
Lattice="7.068 0.094 0.824 3.619 6.324 1.500 4.309 3.301 7.826" Properties=species:S:1:pos:R:3 pbc="T T T"
Li 11.127 7.153 6.227
Cu 4.145 2.868 2.238
Hg 7.416 4.765 4.442
Hg 3.772 2.613 6.134
Br 6.411 2.645 3.052
Br 6.404 7.207 3.878
Br 10.071 5.030 3.678
Br 8.705 6.648 7.516
Br 8.263 2.709 6.487
Br 5.114 4.839 6.433
```

Summary:
E: -2.260 eV per atom
symmetry: No. 1
magnetic moment: 0.11 μB per cell

***

8.
VASP calculation (PBE) on a geometry-optimized Al2CrPb structure.

The structure in extended XYZ format:
```
8
Lattice="7.875 0.000 0.000 0.000 7.875 0.000 3.938 3.938 2.663" Properties=species:S:1:pos:R:3 pbc="T T T"
Pb 0.000 0.000 0.000
Pb 7.875 3.938 1.332
Cr 3.938 3.938 0.000
Cr 3.938 7.875 1.332
Al 5.349 1.969 0.666
Al 2.526 5.906 0.666
Al 5.906 6.464 1.997
Al 9.844 9.287 1.997
```

Summary:
symmetry: No. 122
formation energy: 0.700 eV/atom
N(E_F): 1.753 states/eV/f.u.
magnetic moment: 0.00 μB per cell

***

9.
VASP calculation (PBE) on a geometry-optimized Hf5Mn4Be structure.

The structure in extended XYZ format:
```
10
Lattice="3.167 0.000 0.000 0.000 3.167 0.000 0.000 0.000 15.738" Properties=species:S:1:pos:R:3 pbc="T T T"
Hf 1.584 1.584 1.564
Hf 1.584 1.584 4.680
Hf 1.584 1.584 7.869
Hf 1.584 1.584 11.058
Hf 1.584 1.584 14.173
Mn 0.000 0.000 3.094
Mn 0.000 0.000 6.294
Mn 0.000 0.000 9.443
Mn 0.000 0.000 12.644
Be 0.000 0.000 0.000
```

Summary:
symmetry: No. 123
formation energy: -0.131 eV/atom
N(E_F): 11.648 states/eV/f.u.
magnetic moment: 2.68 μB per cell

***

10.
VASP calculation (PBE) on a geometry-optimized LaB2N2 structure.

The structure in extended XYZ format:
```
5
Lattice="3.358 0.000 0.000 0.000 3.358 0.000 1.679 1.679 4.467" Properties=species:S:1:pos:R:3 pbc="T T T"
B 1.679 1.679 1.843
B 3.358 3.358 2.624
N 3.358 1.679 2.234
N 1.679 3.358 2.234
La 0.000 0.000 0.000
```

Summary:
E: -6.942 eV per atom
symmetry: No. 139
N(E_F): 1.696 states/eV/f.u.
magnetic moment: 0.00 μB per cell

***

11.
VASP calculation (PBE) on a geometry-optimized Sr3LiPd structure.

The structure in extended XYZ format:
```
10
Lattice="2.435 -5.419 5.901 7.875 0.272 2.835 1.482 2.766 7.764" Properties=species:S:1:pos:R:3 pbc="T T T"
Sr 7.808 -3.477 8.659
Sr 4.854 -1.479 11.058
Sr 7.972 0.789 9.157
Sr 3.819 -3.170 7.342
Sr 6.937 -0.902 5.442
Sr 3.983 1.096 7.841
Pd 0.000 0.000 0.000
Pd 5.895 -1.191 8.250
Li 2.948 -0.595 4.125
Li 8.843 -1.786 12.375
```

Summary:
symmetry: No. 167
formation energy: -0.240 eV/atom
N(E_F): 3.513 states/eV/f.u.
magnetic moment: 0.00 μB per cell

***

12.
VASP calculation (PBE) on a geometry-optimized AcLa4Se6 structure.

The structure in extended XYZ format:
```
22
Lattice="4.281 0.000 0.000 -2.140 7.106 0.000 0.000 0.000 21.715" Properties=species:S:1:pos:R:3 pbc="T T T"
Ac 2.140 2.262 5.429
Ac 0.000 4.844 16.286
La 2.140 5.122 11.712
La 0.000 5.810 2.751
La 0.000 1.984 10.003
La 2.140 1.296 18.964
La 2.140 5.122 20.860
La 0.000 1.984 0.855
La 2.140 1.296 13.609
La 0.000 5.810 8.106
Se 2.140 0.000 0.000
Se 2.140 0.000 10.857
Se 0.000 0.705 7.237
Se 2.140 6.401 14.478
Se 2.140 6.401 18.094
Se 0.000 0.705 3.621
Se 2.140 3.803 8.853
Se 0.000 3.303 12.862
Se 0.000 3.303 19.710
Se 2.140 3.803 2.005
Se 0.000 4.482 5.429
Se 2.140 2.624 16.286
```

Summary:
E: -6.070 eV per atom
symmetry: No. 63
N(E_F): 4.059 states/eV/f.u.
magnetic moment: 0.00 μB per cell